Tb3Sm3Cd2 | PBE-GGA | optimized geometry

Unit cell a=6.4705 b=6.4705 c=15.6661 alpha=90.00 beta=90.00 gamma=131.52
Closest atoms and distances in Å follow each position.
Fractional coordinates of all 16 atoms:
Tb  0.0444  0.9556  0.7500  2 Cd 3.20, 5 Sm 3.29-3.48
Tb  0.1435  0.8565  0.0324  3 Cd 3.06-3.28
Tb  0.1435  0.8565  0.4676  3 Cd 3.06-3.28
Tb  0.8565  0.1435  0.5324  3 Cd 3.06-3.28
Tb  0.8565  0.1435  0.9676  3 Cd 3.06-3.28
Tb  0.9556  0.0444  0.2500  2 Cd 3.20, 5 Sm 3.29-3.48
Sm  0.2346  0.7654  0.2500  4 Cd 3.19, 1 Tb 3.29, 2 Sm 3.49
Sm  0.4613  0.5387  0.1069  1 Cd 3.19, 2 Sm 3.47-3.49, 2 Tb 3.48
Sm  0.4613  0.5387  0.3931  1 Cd 3.19, 2 Sm 3.47-3.49, 2 Tb 3.48
Sm  0.5387  0.4613  0.6069  1 Cd 3.19, 2 Sm 3.47-3.49, 2 Tb 3.48
Sm  0.5387  0.4613  0.8931  1 Cd 3.19, 2 Sm 3.47-3.49, 2 Tb 3.48
Sm  0.7654  0.2346  0.7500  4 Cd 3.19, 1 Tb 3.29, 2 Sm 3.49
Cd  0.2711  0.7289  0.6376  4 Tb 3.06-3.28, 3 Sm 3.19
Cd  0.2711  0.7289  0.8624  4 Tb 3.06-3.28, 3 Sm 3.19
Cd  0.7289  0.2711  0.1376  4 Tb 3.06-3.28, 3 Sm 3.19
Cd  0.7289  0.2711  0.3624  4 Tb 3.06-3.28, 3 Sm 3.19

Summary:
As for the symmetry: Cmcm. The value obtained for the total DFT energy (no corrections) is -3.797 eV per atom. As for the magnetization: 0.00 μB/f.u. As for the formation energy: -0.062 eV per atom.